i:
Entry from the Alexandria database: a relaxed Cr2CdP crystal (PBE).

Lattice parameters (Å, degrees): 2.9107 2.9107 6.6570 90.00 90.00 90.01
Fractional positions:
Cr (0.0000, 0.0000, 0.4284)
Cr (0.0000, 0.0000, 0.0716)
Cd (0.5000, 0.5000, 0.7500)
P (0.5000, 0.5000, 0.2500)

**DOS at the Fermi energy**: 3.67 states/eV/cell
**Total magnetization**: 0.189 μB per atom
**Symmetry**: P4/mmm (123)

***

ii:
Entry from the Alexandria database: a relaxed Cr2CdP crystal (PBE).

Lattice parameters (Å, degrees): 4.7790 4.7790 4.7790 140.44 121.83 72.64
Fractional positions:
Cr (0.9478, 0.9478, 0.0000)
Cr (0.5522, 0.5522, 0.0000)
Cd (0.2500, 0.7500, 0.5000)
P (0.7500, 0.2500, 0.5000)

**DOS at the Fermi energy**: 3.70 states/eV/cell
**Total magnetization**: 0.003 μB per atom
**Symmetry**: Immm (71)

***

Sorted by energy, starting with the most stable: i, ii.

***

i:
Entry from the Alexandria database: a relaxed Cr2CdP crystal (PBE).

Lattice parameters (Å, degrees): 2.6556 2.6556 9.6250 90.00 90.00 108.91
Fractional positions:
Cr (0.0000, 0.0000, 0.0484)
Cr (0.5000, 0.5000, 0.2357)
P (0.0000, 0.0000, 0.4185)
Cd (0.5000, 0.5000, 0.7974)

**DOS at the Fermi energy**: 3.87 states/eV/cell
**Total magnetization**: 0.000 μB per atom
**Symmetry**: Cmm2 (35)

***

ii:
Entry from the Alexandria database: a relaxed Cr2CdP crystal (PBE).

Lattice parameters (Å, degrees): 5.3251 5.3251 5.3251 138.65 138.65 59.91
Fractional positions:
Cr (0.0000, 0.0000, 0.0000)
Cr (0.2500, 0.7500, 0.5000)
Cd (0.7500, 0.2500, 0.5000)
P (0.5000, 0.5000, 0.0000)

**DOS at the Fermi energy**: 4.22 states/eV/cell
**Total magnetization**: 1.704 μB per atom
**Symmetry**: I-4m2 (119)

***

Sorted by energy, starting with the most stable: i, ii.

***

i:
Entry from the Alexandria database: a relaxed RbCr3Cd crystal (PBE).

Lattice parameters (Å, degrees): 5.3843 5.3843 5.3843 90.00 90.00 90.00
Fractional positions:
Cr (0.0000, 0.5000, 0.0000)
Cr (0.5000, 0.0000, 0.0000)
Cr (0.0000, 0.0000, 0.5000)
Cd (0.0000, 0.0000, 0.0000)
Rb (0.5000, 0.5000, 0.5000)

**DOS at the Fermi energy**: 3.78 states/eV/cell
**Total magnetization**: 2.800 μB per atom
**Symmetry**: Pm-3m (221)

***

ii:
Entry from the Alexandria database: a relaxed RbCr3Cd crystal (PBE).

Lattice parameters (Å, degrees): 6.0542 6.0542 6.0542 90.00 90.00 90.00
Fractional positions:
Cr (0.0000, 0.5000, 0.0000)
Cr (0.0000, 0.0000, 0.5000)
Cr (0.5000, 0.0000, 0.0000)
Cd (0.5000, 0.5000, 0.5000)
Rb (0.0000, 0.0000, 0.0000)

**DOS at the Fermi energy**: 2.42 states/eV/cell
**Total magnetization**: 3.381 μB per atom
**Symmetry**: Pm-3m (221)

***

Sorted by energy, starting with the most stable: i, ii.

***

i:
Entry from the Alexandria database: a relaxed RbCrCd2 crystal (PBE).

Lattice parameters (Å, degrees): 5.5283 5.5283 5.5283 60.00 60.00 60.00
Fractional positions:
Cd (0.2500, 0.2500, 0.2500)
Cd (0.7500, 0.7500, 0.7500)
Cr (0.0000, 0.0000, 0.0000)
Rb (0.5000, 0.5000, 0.5000)

**DOS at the Fermi energy**: 2.57 states/eV/cell
**Total magnetization**: 1.269 μB per atom
**Symmetry**: Fm-3m (225)

***

ii:
Entry from the Alexandria database: a relaxed RbCrCd2 crystal (PBE).

Lattice parameters (Å, degrees): 5.7999 5.7999 10.4158 73.83 73.83 90.00
Fractional positions:
Cd (0.3747, 0.1250, 0.2500)
Cd (0.3750, 0.6253, 0.7500)
Cd (0.8750, 0.6247, 0.7500)
Cd (0.3753, 0.6250, 0.2500)
Cr (0.5000, 0.5000, 0.0000)
Cr (0.2500, 0.7500, 0.5000)
Rb (0.7500, 0.2500, 0.5000)
Rb (0.0000, 0.0000, 0.0000)

**DOS at the Fermi energy**: 2.96 states/eV/cell
**Total magnetization**: 1.193 μB per atom
**Symmetry**: I4_1/amd (141)

***

Sorted by energy, starting with the most stable: ii, i.

***

i:
Entry from the Alexandria database: a relaxed CrCdRe crystal (PBE).

Lattice parameters (Å, degrees): 7.2780 7.0783 2.7327 83.17 74.94 21.89
Fractional positions:
Cd (0.9957, 0.9957, 0.0043)
Cr (0.3202, 0.3202, 0.6798)
Re (0.6841, 0.6841, 0.3159)

**DOS at the Fermi energy**: 2.27 states/eV/cell
**Total magnetization**: 0.000 μB per atom
**Symmetry**: Fmm2 (42)

***

ii:
Entry from the Alexandria database: a relaxed CrCdRe crystal (PBE).

Lattice parameters (Å, degrees): 4.2298 4.2298 4.2298 60.00 60.00 60.00
Fractional positions:
Re (0.0000, 0.0000, 0.0000)
Cr (0.7500, 0.7500, 0.7500)
Cd (0.5000, 0.5000, 0.5000)

**DOS at the Fermi energy**: 2.67 states/eV/cell
**Total magnetization**: 0.356 μB per atom
**Symmetry**: F-43m (216)

***

Sorted by energy, starting with the most stable: i, ii.

***

i:
Entry from the Alexandria database: a relaxed CrCdRe crystal (PBE).

Lattice parameters (Å, degrees): 5.6384 5.6384 5.6384 148.85 148.85 44.63
Fractional positions:
Cd (0.9958, 0.9958, 0.0000)
Cr (0.3096, 0.3096, 0.0000)
Re (0.6947, 0.6947, 0.0000)

**DOS at the Fermi energy**: 2.22 states/eV/cell
**Total magnetization**: 0.000 μB per atom
**Symmetry**: I4mm (107)

***

ii:
Entry from the Alexandria database: a relaxed CrCdRe crystal (PBE).

Lattice parameters (Å, degrees): 2.8562 2.8562 6.8210 90.00 90.00 120.00
Fractional positions:
Cr (0.3333, 0.6667, 0.3631)
Re (0.6667, 0.3333, 0.6292)
Cd (0.0000, 0.0000, 0.0076)

**DOS at the Fermi energy**: 2.65 states/eV/cell
**Total magnetization**: 0.274 μB per atom
**Symmetry**: P3m1 (156)

***

Sorted by energy, starting with the most stable: i, ii.

***

i:
Entry from the Alexandria database: a relaxed Cr3CdRe crystal (PBE).

Lattice parameters (Å, degrees): 4.8669 4.8669 4.8669 90.00 90.00 90.00
Fractional positions:
Cd (0.0000, 0.0000, 0.0000)
Cr (0.5000, 0.0000, 0.0000)
Cr (0.0000, 0.0000, 0.5000)
Cr (0.0000, 0.5000, 0.0000)
Re (0.5000, 0.5000, 0.5000)

**DOS at the Fermi energy**: 6.41 states/eV/cell
**Total magnetization**: 1.749 μB per atom
**Symmetry**: Pm-3m (221)

***

ii:
Entry from the Alexandria database: a relaxed Cr3CdRe crystal (PBE).

Lattice parameters (Å, degrees): 4.6935 4.6935 4.6935 90.00 90.00 90.00
Fractional positions:
Cr (0.0000, 0.5000, 0.0000)
Cr (0.5000, 0.0000, 0.0000)
Cr (0.0000, 0.0000, 0.5000)
Cd (0.5000, 0.5000, 0.5000)
Re (0.0000, 0.0000, 0.0000)

**DOS at the Fermi energy**: 4.17 states/eV/cell
**Total magnetization**: 1.623 μB per atom
**Symmetry**: Pm-3m (221)

***

Sorted by energy, starting with the most stable: ii, i.

***

i:
Entry from the Alexandria database: a relaxed CrCd2Rh crystal (PBE).

Lattice parameters (Å, degrees): 4.1713 4.1722 4.0101 90.00 90.00 90.00
Fractional positions:
Cr (0.5000, 0.0000, 0.5000)
Cd (0.5000, 0.5000, 0.0000)
Cd (0.0000, 0.0000, 0.0000)
Rh (0.0000, 0.5000, 0.5000)

**DOS at the Fermi energy**: 1.16 states/eV/cell
**Total magnetization**: 1.118 μB per atom
**Symmetry**: P4/mmm (123)

***

ii:
Entry from the Alexandria database: a relaxed CrCd2Rh crystal (PBE).

Lattice parameters (Å, degrees): 9.8878 9.8878 9.8878 16.48 16.48 16.48
Fractional positions:
Cd (0.2401, 0.2401, 0.2401)
Cd (0.0083, 0.0083, 0.0083)
Rh (0.7602, 0.7602, 0.7602)
Cr (0.4914, 0.4914, 0.4914)

**DOS at the Fermi energy**: 2.43 states/eV/cell
**Total magnetization**: 0.000 μB per atom
**Symmetry**: R3m (160)

***

Sorted by energy, starting with the most stable: i, ii.